Mg4CuSe2 | PBEsol | relaxed

Unit cell a=6.429 b=6.429 c=7.227 alpha=90.00 beta=90.00 gamma=90.00
Space group I4/mmm (No. 139)
One atom of each set of equivalent atoms:
Mg  0.225  0.225  0.000 x8
Cu  0.000  0.000  0.500 x2
Se  0.000  0.500  0.250 x4

* formation energy (no corrections): -0.22 eV per atom
* volume: 21.338 Å³ per atom
* energy above the most stable polymorph in this dataset: 0.218 eV/atom

---

MgCuSe | PBEsol | relaxed

Unit cell a=5.352 b=6.351 c=6.474 alpha=90.00 beta=111.94 gamma=90.00
Space group P2_1/c (No. 14)
One atom of each set of equivalent atoms:
Mg  0.166  0.201  0.341 x4
Cu  0.223  0.576  0.540 x4
Se  0.344  0.566  0.187 x4

* formation energy (no corrections): -0.52 eV per atom
* volume: 17.010 Å³ per atom
* energy above the most stable polymorph in this dataset: 0.000 eV/atom

---

Mg14CuSi | PBEsol | relaxed

Unit cell a=6.1678 b=6.1678 c=9.9820 alpha=90.00 beta=90.00 gamma=120.00
Space group P-6m2 (No. 187)
One atom of each set of equivalent atoms:
Mg  0.0000  0.0000  0.2484 x2
Mg  0.1659  0.3317  0.5000 x3
Mg  0.1666  0.3331  0.0000 x3
Mg  0.5045  0.0089  0.2527 x6
Cu  0.6667  0.3333  0.5000 x1
Si  0.6667  0.3333  0.0000 x1

* formation energy (no corrections): 0.04 eV per atom
* volume: 20.553 Å³ per atom
* energy above the most stable polymorph in this dataset: 0.002 eV/atom